[1]
The following is a DFT calculation (PBE) of crystalline ZnCu at its relaxed geometry.

## Properties
**Total DFT energy (no corrections)**: -2.7309 eV per atom
**Volume**: 13.19 Å³ per atom
**Energy of formation**: -4.4 kJ/mol of atoms

a b c (Å): 2.697 2.697 7.254
angles (deg): 90.00 90.00 90.00
Fractional positions:
Zn 0.250 0.250 0.639
Zn 0.750 0.750 0.361
Cu 0.250 0.250 0.118
Cu 0.750 0.750 0.882


[2]
The following is a DFT calculation (PBE) of crystalline CsTcS2 at its relaxed geometry.

## Properties
**Energy relative to the elements, uncorrected**: -0.25 eV per atom
**Total DFT energy (no corrections)**: -5.1144 eV per atom
**Volume**: 26.57 Å³ per atom

a b c (Å): 9.237 9.237 9.237
angles (deg): 23.08 23.08 23.08
Fractional positions:
Cs 0.000 0.000 0.000
S 0.881 0.881 0.881
S 0.119 0.119 0.119
Tc 0.500 0.500 0.500


> What is the total DFT energy (no corrections) in the second record?

-5.1144 eV per atom